# 1
The following is a DFT calculation (GGA-PBE) of crystalline SrAl2Si2O8 at its relaxed geometry.

Cell lengths 9.5007, 9.5007, 9.6702 Å; angles 79.43, 79.43, 69.90 degrees
Positions (direct):
O (0.3574, 0.3326, 0.5761)
O (0.0356, 0.8742, 0.7961)
O (0.7247, 0.9622, 0.7947)
Sr (0.9272, 0.6567, 0.7851)
Si (0.0107, 0.7564, 0.1219)
Sr (0.6567, 0.9272, 0.2851)
O (0.6674, 0.6426, 0.9239)
O (0.3786, 0.6080, 0.5853)
O (0.8519, 0.8565, 0.0528)
O (0.1258, 0.9644, 0.7039)
O (0.5150, 0.7855, 0.7004)
O (0.1560, 0.8654, 0.4072)
O (0.6214, 0.3920, 0.4147)
Si (0.2745, 0.5013, 0.6278)
Si (0.4987, 0.7255, 0.8722)
O (0.0832, 0.5978, 0.0514)
O (0.9644, 0.1258, 0.2039)
O (0.6080, 0.3786, 0.0853)
O (0.8565, 0.8519, 0.5528)
O (0.1481, 0.1435, 0.9472)
O (0.3326, 0.3574, 0.0761)
Si (0.9893, 0.2436, 0.8781)
Al (0.7345, 0.4770, 0.0465)
O (0.8742, 0.0356, 0.2961)
O (0.2753, 0.0378, 0.2053)
O (0.9622, 0.7247, 0.2947)
Al (0.1426, 0.0181, 0.1076)
Al (0.0181, 0.1426, 0.6076)
Sr (0.3433, 0.0728, 0.7149)
O (0.7855, 0.5150, 0.2004)
O (0.9168, 0.4022, 0.9486)
Si (0.7564, 0.0107, 0.6219)
O (0.5978, 0.0832, 0.5514)
Al (0.4770, 0.7345, 0.5465)
Al (0.8574, 0.9819, 0.8924)
Si (0.7255, 0.4987, 0.3722)
O (0.1346, 0.8440, 0.0928)
O (0.2145, 0.4850, 0.7996)
Al (0.2655, 0.5230, 0.9535)
Al (0.9819, 0.8574, 0.3924)
O (0.3920, 0.6214, 0.9147)
O (0.8440, 0.1346, 0.5928)
O (0.8654, 0.1560, 0.9072)
Sr (0.0728, 0.3433, 0.2149)
O (0.0378, 0.2753, 0.7053)
Si (0.5013, 0.2745, 0.1278)
O (0.4022, 0.9168, 0.4486)
O (0.1435, 0.1481, 0.4472)
Al (0.5230, 0.2655, 0.4535)
O (0.6426, 0.6674, 0.4239)
O (0.4850, 0.2145, 0.2996)
Si (0.2436, 0.9893, 0.3781)

Calculated values
Polymorph energy (0 for the lowest one) in meV/atom: 429.9
Volume in A^3/atom: 15.36



# 2
The following is a DFT calculation (GGA-PBE) of crystalline SrAl2Si2O8 at its relaxed geometry.

Cell lengths 9.3219, 9.3219, 8.4864 Å; angles 82.97, 82.97, 89.63 degrees
Positions (direct):
O (0.5198, 0.7686, 0.7771)
O (0.9863, 0.7377, 0.6977)
Sr (0.9374, 0.4312, 0.7989)
Si (0.2822, 0.4355, 0.8998)
O (0.0862, 0.8208, 0.9950)
Al (0.7097, 0.4498, 0.4760)
Al (0.2903, 0.5502, 0.5240)
O (0.6823, 0.4268, 0.0079)
Sr (0.5688, 0.0626, 0.7011)
O (0.8585, 0.3581, 0.5526)
Si (0.5645, 0.7178, 0.6002)
O (0.5843, 0.6768, 0.1031)
Si (0.9410, 0.2156, 0.4866)
O (0.1288, 0.3718, 0.0047)
Si (0.7844, 0.0590, 0.0134)
O (0.5732, 0.3177, 0.4921)
Al (0.2060, 0.0603, 0.6130)
O (0.2314, 0.4802, 0.7229)
Al (0.5502, 0.2903, 0.0240)
O (0.6282, 0.8712, 0.4953)
Sr (0.4312, 0.9374, 0.2989)
Al (0.7940, 0.9397, 0.3870)
O (0.4802, 0.2314, 0.2229)
O (0.7686, 0.5198, 0.2771)
O (0.8208, 0.0862, 0.4950)
Si (0.7178, 0.5645, 0.1002)
O (0.3177, 0.5732, 0.9921)
O (0.4157, 0.3232, 0.8969)
O (0.1415, 0.6419, 0.4474)
O (0.3581, 0.8585, 0.0526)
O (0.1792, 0.9138, 0.5050)
O (0.1779, 0.0602, 0.1108)
Si (0.4355, 0.2822, 0.3998)
Si (0.2156, 0.9410, 0.9866)
Al (0.0603, 0.2060, 0.1130)
O (0.3232, 0.4157, 0.3969)
O (0.3718, 0.1288, 0.5047)
O (0.9398, 0.8221, 0.3892)
O (0.6419, 0.1415, 0.9474)
O (0.8221, 0.9398, 0.8892)
O (0.9138, 0.1792, 0.0050)
O (0.8712, 0.6282, 0.9953)
Al (0.9397, 0.7940, 0.8870)
O (0.0602, 0.1779, 0.6108)
Al (0.4498, 0.7097, 0.9760)
Si (0.0590, 0.7844, 0.5134)
O (0.2623, 0.0137, 0.8023)
Sr (0.0626, 0.5688, 0.2011)
O (0.7377, 0.9863, 0.1977)
O (0.4268, 0.6823, 0.5079)
O (0.0137, 0.2623, 0.3023)
O (0.6768, 0.5843, 0.6031)

Calculated values
Polymorph energy (0 for the lowest one) in meV/atom: 0.8
Volume in A^3/atom: 13.97



# 3
The following is a DFT calculation (GGA-PBE) of crystalline AlTlSiO4 at its relaxed geometry.

Cell lengths 15.5027, 5.1858, 7.6968 Å; angles 52.11, 90.00, 90.00 degrees
Positions (direct):
O (0.3525, 0.6888, 0.5176)
O (0.2053, 0.3255, 0.4460)
O (0.4448, 0.1540, 0.8596)
O (0.8525, 0.3112, 0.9824)
O (0.4501, 0.6272, 0.8438)
Si (0.1261, 0.4655, 0.2727)
O (0.0552, 0.1540, 0.3596)
O (0.1475, 0.6888, 0.0176)
O (0.0499, 0.6272, 0.3438)
Si (0.6261, 0.5345, 0.2273)
O (0.7053, 0.6745, 0.0540)
Al (0.4687, 0.7228, 0.0295)
Si (0.3739, 0.4655, 0.7727)
Tl (0.3317, 0.5245, 0.2973)
Si (0.8739, 0.5345, 0.7273)
O (0.7947, 0.6745, 0.5540)
Tl (0.1683, 0.5245, 0.7973)
Tl (0.6683, 0.4755, 0.7027)
Tl (0.8317, 0.4755, 0.2027)
O (0.5499, 0.3728, 0.1562)
Al (0.9687, 0.2772, 0.4705)
O (0.9448, 0.8460, 0.6404)
O (0.5552, 0.8460, 0.1404)
O (0.2947, 0.3255, 0.9460)
O (0.6475, 0.3112, 0.4824)
Al (0.5313, 0.2772, 0.9705)
O (0.9501, 0.3728, 0.6562)
Al (0.0313, 0.7228, 0.5295)

Calculated values
Polymorph energy (0 for the lowest one) in meV/atom: 414.1
Volume in A^3/atom: 17.44



# 4
The following is a DFT calculation (GGA-PBE) of crystalline AlTl2SiO4 at its relaxed geometry.

Cell lengths 4.8900, 6.3773, 12.0191 Å; angles 85.53, 78.26, 67.46 degrees
Positions (direct):
O (0.4464, 0.6437, 0.4239)
O (0.8401, 0.8563, 0.9239)
Al (0.0000, 0.0000, 0.0000)
O (0.6203, 0.1437, 0.0761)
O (0.9099, 0.6437, 0.5761)
Tl (0.1440, 0.0000, 0.7119)
Al (0.7500, 0.5000, 0.5000)
O (0.1297, 0.3563, 0.4239)
Si (0.5000, 0.0000, 0.0000)
O (0.3036, 0.8563, 0.0761)
Si (0.2500, 0.5000, 0.5000)
Tl (0.8560, 0.0000, 0.2881)
O (0.5140, 0.3563, 0.5761)
Tl (0.8940, 0.5000, 0.2119)
O (0.2360, 0.1437, 0.9239)
Tl (0.6060, 0.5000, 0.7881)

Calculated values
Raw total energy in eV per atom: -6.0619
Volume in A^3/atom: 21.18



# 5
The following is a DFT calculation (GGA-PBE) of crystalline AlTlSiO4 at its relaxed geometry.

Cell lengths 9.1153, 9.1153, 9.1153 Å; angles 90.44, 90.44, 90.44 degrees
Positions (direct):
Al (0.4940, 0.2504, 0.0026)
O (0.6433, 0.9539, 0.6544)
O (0.5489, 0.1430, 0.8509)
Si (0.7485, 0.5007, 0.0003)
Al (0.9940, 0.5026, 0.7504)
O (0.0534, 0.6475, 0.3607)
O (0.6544, 0.6433, 0.9539)
Tl (0.3494, 0.6519, 0.3452)
O (0.6475, 0.3607, 0.0534)
Si (0.5003, 0.0007, 0.2485)
Tl (0.1519, 0.8494, 0.8452)
O (0.1430, 0.8509, 0.5489)
O (0.0489, 0.3509, 0.6430)
Tl (0.8494, 0.8452, 0.1519)
O (0.8621, 0.8484, 0.4434)
O (0.3607, 0.0534, 0.6475)
O (0.8509, 0.5489, 0.1430)
O (0.3621, 0.9434, 0.3484)
Tl (0.8452, 0.1519, 0.8494)
Si (0.0007, 0.2485, 0.5003)
O (0.3484, 0.3621, 0.9434)
O (0.6430, 0.0489, 0.3509)
O (0.8607, 0.1475, 0.5534)
O (0.9539, 0.6544, 0.6433)
O (0.8484, 0.4434, 0.8621)
O (0.1475, 0.5534, 0.8607)
Tl (0.3452, 0.3494, 0.6519)
O (0.4434, 0.8621, 0.8484)
Tl (0.6519, 0.3452, 0.3494)
O (0.9434, 0.3484, 0.3621)
O (0.5534, 0.8607, 0.1475)
O (0.1433, 0.1544, 0.4539)
Si (0.2485, 0.5003, 0.0007)
Al (0.7504, 0.9940, 0.5026)
O (0.1544, 0.4539, 0.1433)
Si (0.0003, 0.7485, 0.5007)
Al (0.5026, 0.7504, 0.9940)
O (0.4539, 0.1433, 0.1544)
Al (0.0026, 0.4940, 0.2504)
O (0.3509, 0.6430, 0.0489)
Si (0.5007, 0.0003, 0.7485)
Al (0.2504, 0.0026, 0.4940)

Calculated values
Polymorph energy (0 for the lowest one) in meV/atom: 0.0
Volume in A^3/atom: 18.03



# 6
The following is a DFT calculation (GGA-PBE) of crystalline AlTlSiO4 at its relaxed geometry.

Cell lengths 5.4593, 8.4551, 9.5966 Å; angles 90.00, 90.00, 89.98 degrees
Positions (direct):
Tl (0.2500, 0.4879, 0.1779)
O (0.2501, 0.7263, 0.7694)
Si (0.2500, 0.2939, 0.5722)
Al (0.2500, 0.1870, 0.9088)
O (0.7500, 0.5159, 0.4310)
Si (0.7500, 0.7061, 0.4278)
Si (0.7500, 0.2061, 0.0722)
O (0.4926, 0.7223, 0.0101)
Al (0.7500, 0.8130, 0.0912)
O (0.9926, 0.2777, 0.9900)
O (0.7499, 0.7737, 0.2694)
O (0.0074, 0.2223, 0.4900)
O (0.4926, 0.2223, 0.4899)
Tl (0.2500, 0.9879, 0.3221)
O (0.5074, 0.7777, 0.5101)
O (0.9926, 0.7777, 0.5100)
O (0.2501, 0.2263, 0.7306)
Si (0.2500, 0.7939, 0.9278)
Al (0.7500, 0.3130, 0.4088)
O (0.0074, 0.7223, 0.0100)
Al (0.2500, 0.6870, 0.5912)
O (0.7499, 0.2737, 0.2306)
O (0.2500, 0.4841, 0.5690)
Tl (0.7500, 0.0121, 0.6779)
O (0.5074, 0.2777, 0.9899)
O (0.2500, 0.9841, 0.9310)
O (0.7500, 0.0159, 0.0690)
Tl (0.7500, 0.5121, 0.8221)

Calculated values
Polymorph energy (0 for the lowest one) in meV/atom: 0.5
Volume in A^3/atom: 15.82



# 7
The following is a DFT calculation (GGA-PBE) of crystalline AlTlSiO4 at its relaxed geometry.

Cell lengths 5.5616, 7.4020, 9.0739 Å; angles 90.00, 90.00, 90.00 degrees
Positions (direct):
O (0.2500, 0.3963, 0.2476)
O (0.2500, 0.4522, 0.5466)
Tl (0.2500, 0.8642, 0.2528)
Al (0.2500, 0.5009, 0.0690)
Si (0.7500, 0.6860, 0.5836)
O (0.5319, 0.8526, 0.5580)
O (0.2500, 0.1037, 0.7476)
Si (0.2500, 0.3140, 0.4164)
O (0.7500, 0.8963, 0.2524)
O (0.7500, 0.5478, 0.4534)
O (0.9681, 0.6474, 0.0580)
O (0.0319, 0.3526, 0.9420)
Tl (0.2500, 0.6358, 0.7528)
O (0.2500, 0.0478, 0.0466)
Tl (0.7500, 0.3642, 0.2472)
O (0.9681, 0.8526, 0.5580)
Al (0.7500, 0.4991, 0.9310)
O (0.0319, 0.1474, 0.4420)
O (0.4681, 0.3526, 0.9420)
Al (0.2500, 0.9991, 0.5690)
Tl (0.7500, 0.1358, 0.7472)
Si (0.2500, 0.1860, 0.9164)
O (0.7500, 0.9522, 0.9534)
O (0.5319, 0.6474, 0.0580)
O (0.4681, 0.1474, 0.4420)
O (0.7500, 0.6037, 0.7524)
Si (0.7500, 0.8140, 0.0836)
Al (0.7500, 0.0009, 0.4310)

Calculated values
Polymorph energy (0 for the lowest one) in meV/atom: 381.1
Volume in A^3/atom: 13.34